# K2BeTeO6

An optimized crystal structure of K2BeTeO6 (PBE-GGA, Alexandria via LeMat-Bulk).

Raw formation energy = -1201 meV/atom
Final energy = -5.08 eV/atom

Unit cell a=5.026 b=5.996 c=5.996 alpha=120.00 beta=90.00 gamma=90.00
Each line ends with the local moment (μB).
Element x y z (fractional)
K1 0.165 0.333 0.667  0.00
K2 0.835 0.667 0.333  0.00
Be1 0.000 0.000 0.000  -0.01
Te1 0.500 0.000 0.000  -0.04
O1 0.758 0.139 0.278  0.29
O2 0.758 0.139 0.861  0.29
O3 0.758 0.722 0.861  0.29
O4 0.242 0.861 0.139  0.29
O5 0.242 0.278 0.139  0.29
O6 0.242 0.861 0.722  0.29